Record 1
First-principles (PBE-GGA) data for a relaxed structure of Cr2AsP, as listed in the Alexandria database.

Results
energy of formation from the pure elements: -1.085 eV per formula unit
crystal system: orthorhombic
N(E_F): 2.9 states/eV/f.u.
total moment: 3.28 Bohr magnetons per cell

Lattice parameters (Å, degrees): 3.072 3.254 10.773 90.00 90.00 90.00
Space group Imm2 (No. 44)
Inequivalent atoms, fractional coordinates:
Cr1 0.000 0.000 0.000 [2 per cell]
Cr2 0.000 0.500 0.235 [2 per cell]
As1 0.000 0.000 0.409 [2 per cell]
P1 0.000 0.500 0.660 [2 per cell]


Record 2
First-principles (PBE-GGA) data for a relaxed structure of Cr2AsP, as listed in the Alexandria database.

Results
energy of formation from the pure elements: -0.579 eV per formula unit
crystal system: tetragonal
N(E_F): 1.8 states/eV/f.u.
total moment: 5.63 Bohr magnetons per cell

Lattice parameters (Å, degrees): 3.482 3.482 4.987 90.00 90.00 90.00
Space group P4mm (No. 99)
Inequivalent atoms, fractional coordinates:
Cr1 0.000 0.000 0.000 [1 per cell]
Cr2 0.500 0.500 0.386 [1 per cell]
As1 0.500 0.500 0.888 [1 per cell]
P1 0.000 0.000 0.482 [1 per cell]


Record 3
First-principles (PBE-GGA) data for a relaxed structure of Cr2AsP, as listed in the Alexandria database.

Results
energy of formation from the pure elements: -0.118 eV per formula unit
crystal system: orthorhombic
N(E_F): 4.3 states/eV/f.u.
total moment: 0.02 Bohr magnetons per cell

Lattice parameters (Å, degrees): 2.910 4.185 4.204 90.00 90.00 90.00
Space group Pmmm (No. 47)
Inequivalent atoms, fractional coordinates:
Cr1 0.000 0.000 0.000 [1 per cell]
Cr2 0.000 0.500 0.500 [1 per cell]
As1 0.500 0.000 0.500 [1 per cell]
P1 0.500 0.500 0.000 [1 per cell]


Record 4
First-principles (PBE-GGA) data for a relaxed structure of CrAsP2, as listed in the Alexandria database.

Results
energy of formation from the pure elements: 1.644 eV per formula unit
crystal system: tetragonal
N(E_F): 2.2 states/eV/f.u.
total moment: 6.07 Bohr magnetons per cell

Lattice parameters (Å, degrees): 3.554 3.554 10.269 90.00 90.00 90.00
Space group I-4m2 (No. 119)
Inequivalent atoms, fractional coordinates:
Cr1 0.000 0.000 0.000 [2 per cell]
As1 0.000 0.500 0.250 [2 per cell]
P1 0.000 0.000 0.500 [2 per cell]
P2 0.000 0.500 0.750 [2 per cell]


Record 5
First-principles (PBE-GGA) data for a relaxed structure of Cr2AsP, as listed in the Alexandria database.

Results
energy of formation from the pure elements: -0.246 eV per formula unit
crystal system: tetragonal
N(E_F): 3.1 states/eV/f.u.
total moment: 0.00 Bohr magnetons per cell

Lattice parameters (Å, degrees): 2.902 2.902 5.910 90.00 90.00 90.00
Space group P4/mmm (No. 123)
Inequivalent atoms, fractional coordinates:
Cr1 0.000 0.000 0.225 [2 per cell]
As1 0.500 0.500 0.500 [1 per cell]
P1 0.500 0.500 0.000 [1 per cell]


Record 6
First-principles (PBE-GGA) data for a relaxed structure of CrAsP2, as listed in the Alexandria database.

Results
energy of formation from the pure elements: 0.162 eV per formula unit
crystal system: tetragonal
N(E_F): 1.9 states/eV/f.u.
total moment: 0.00 Bohr magnetons per cell

Lattice parameters (Å, degrees): 2.956 2.956 7.187 90.00 90.00 90.00
Space group P4mm (No. 99)
Inequivalent atoms, fractional coordinates:
Cr1 0.000 0.000 0.000 [1 per cell]
As1 0.500 0.500 0.766 [1 per cell]
P1 0.000 0.000 0.338 [1 per cell]
P2 0.500 0.500 0.156 [1 per cell]


Record 7
First-principles (PBE-GGA) data for a relaxed structure of CrAsP2, as listed in the Alexandria database.

Results
energy of formation from the pure elements: 1.786 eV per formula unit
crystal system: tetragonal
N(E_F): 2.1 states/eV/f.u.
total moment: 5.93 Bohr magnetons per cell

Lattice parameters (Å, degrees): 3.526 3.526 10.318 90.00 90.00 90.00
Space group I4/mmm (No. 139)
Inequivalent atoms, fractional coordinates:
Cr1 0.000 0.000 0.000 [2 per cell]
As1 0.000 0.000 0.500 [2 per cell]
P1 0.000 0.500 0.250 [4 per cell]


Record 8
First-principles (PBE-GGA) data for a relaxed structure of Cr2As2P, as listed in the Alexandria database.

Results
energy of formation from the pure elements: 1.885 eV per formula unit
crystal system: tetragonal
N(E_F): 3.2 states/eV/f.u.
total moment: 9.51 Bohr magnetons per cell

Lattice parameters (Å, degrees): 7.340 7.340 2.912 90.00 90.00 90.00
Space group P4/mbm (No. 127)
Inequivalent atoms, fractional coordinates:
Cr1 0.142 0.358 0.000 [4 per cell]
As1 0.153 0.653 0.500 [4 per cell]
P1 0.000 0.000 0.500 [2 per cell]


Record 9
First-principles (PBE-GGA) data for a relaxed structure of CrAsP2, as listed in the Alexandria database.

Results
energy of formation from the pure elements: 0.669 eV per formula unit
crystal system: tetragonal
N(E_F): 2.7 states/eV/f.u.
total moment: 6.06 Bohr magnetons per cell

Lattice parameters (Å, degrees): 5.054 5.054 5.167 90.00 90.00 90.00
Space group I4/mmm (No. 139)
Inequivalent atoms, fractional coordinates:
Cr1 0.000 0.000 0.000 [2 per cell]
As1 0.000 0.000 0.500 [2 per cell]
P1 0.000 0.500 0.000 [4 per cell]


Record 10
First-principles (PBE-GGA) data for a relaxed structure of Cr2AsP, as listed in the Alexandria database.

Results
energy of formation from the pure elements: -0.026 eV per formula unit
crystal system: tetragonal
N(E_F): 3.1 states/eV/f.u.
total moment: 0.03 Bohr magnetons per cell

Lattice parameters (Å, degrees): 2.892 2.892 7.114 90.00 90.00 90.00
Space group P4mm (No. 99)
Inequivalent atoms, fractional coordinates:
Cr1 0.000 0.000 0.000 [1 per cell]
Cr2 0.500 0.500 0.180 [1 per cell]
As1 0.500 0.500 0.773 [1 per cell]
P1 0.000 0.000 0.367 [1 per cell]


Record 11
First-principles (PBE-GGA) data for a relaxed structure of CrAsP2, as listed in the Alexandria database.

Results
energy of formation from the pure elements: -0.131 eV per formula unit
crystal system: monoclinic
N(E_F): 1.9 states/eV/f.u.
total moment: 0.00 Bohr magnetons per cell

Lattice parameters (Å, degrees): 7.993 2.989 5.616 90.00 107.39 90.00
Space group Cm (No. 8)
Inequivalent atoms, fractional coordinates:
Cr1 0.000 0.000 0.000 [2 per cell]
As1 0.394 0.000 0.622 [2 per cell]
P1 0.077 0.500 0.332 [2 per cell]
P2 0.212 0.500 0.992 [2 per cell]


Record 12
First-principles (PBE-GGA) data for a relaxed structure of CrAsP2, as listed in the Alexandria database.

Results
energy of formation from the pure elements: 0.673 eV per formula unit
crystal system: monoclinic
N(E_F): 2.6 states/eV/f.u.
total moment: 1.79 Bohr magnetons per cell

Lattice parameters (Å, degrees): 7.742 3.127 5.134 90.00 94.26 90.00
Space group C2/m (No. 12)
Inequivalent atoms, fractional coordinates:
Cr1 0.000 0.000 0.000 [2 per cell]
As1 0.000 0.500 0.500 [2 per cell]
P1 0.217 0.500 0.166 [4 per cell]


Record 13
First-principles (PBE-GGA) data for a relaxed structure of Cr2AsP, as listed in the Alexandria database.

Results
energy of formation from the pure elements: 0.528 eV per formula unit
crystal system: trigonal
N(E_F): 2.8 states/eV/f.u.
total moment: 0.00 Bohr magnetons per cell

Lattice parameters (Å, degrees): 2.9351 2.9351 22.0797 90.00 90.00 120.00
Space group R3m (No. 160, hexagonal axes)
Inequivalent atoms, fractional coordinates:
Cr1 0.0000 0.0000 0.0000 [3 per cell]
Cr2 0.0000 0.0000 0.2481 [3 per cell]
As1 0.0000 0.0000 0.7457 [3 per cell]
P1 0.0000 0.0000 0.5117 [3 per cell]


Record 14
First-principles (PBE-GGA) data for a relaxed structure of CrAsP2, as listed in the Alexandria database.

Results
energy of formation from the pure elements: 2.200 eV per formula unit
crystal system: cubic
N(E_F): 3.5 states/eV/f.u.
total moment: 0.01 Bohr magnetons per cell

Lattice parameters (Å, degrees): 6.055 6.055 6.055 90.00 90.00 90.00
Space group F-43m (No. 216)
Inequivalent atoms, fractional coordinates:
Cr1 0.000 0.000 0.000 [4 per cell]
As1 0.250 0.250 0.750 [4 per cell]
P1 0.000 0.000 0.500 [4 per cell]
P2 0.250 0.250 0.250 [4 per cell]


Record 15
First-principles (PBE-GGA) data for a relaxed structure of CrAsP2, as listed in the Alexandria database.

Results
energy of formation from the pure elements: 0.454 eV per formula unit
crystal system: monoclinic
N(E_F): 2.1 states/eV/f.u.
total moment: 0.65 Bohr magnetons per cell

Lattice parameters (Å, degrees): 4.084 4.255 4.275 90.00 118.28 90.00
Space group Pm (No. 6)
Inequivalent atoms, fractional coordinates:
Cr1 0.000 0.000 0.000 [1 per cell]
As1 0.190 0.500 0.380 [1 per cell]
P1 0.645 0.000 0.292 [1 per cell]
P2 0.860 0.500 0.725 [1 per cell]


Record 16
First-principles (PBE-GGA) data for a relaxed structure of Cr2AsP, as listed in the Alexandria database.

Results
energy of formation from the pure elements: -0.134 eV per formula unit
crystal system: cubic
N(E_F): 2.5 states/eV/f.u.
total moment: 8.45 Bohr magnetons per cell

Lattice parameters (Å, degrees): 5.866 5.866 5.866 90.00 90.00 90.00
Space group Fm-3m (No. 225)
Inequivalent atoms, fractional coordinates:
Cr1 0.250 0.250 0.250 [8 per cell]
As1 0.000 0.000 0.000 [4 per cell]
P1 0.000 0.000 0.500 [4 per cell]


Record 17
First-principles (PBE-GGA) data for a relaxed structure of CrAs3P, as listed in the Alexandria database.

Results
energy of formation from the pure elements: 3.100 eV per formula unit
crystal system: cubic
N(E_F): 4.3 states/eV/f.u.
total moment: 0.45 Bohr magnetons per cell

Lattice parameters (Å, degrees): 4.609 4.609 4.609 90.00 90.00 90.00
Space group Pm-3m (No. 221)
Inequivalent atoms, fractional coordinates:
Cr1 0.000 0.000 0.000 [1 per cell]
As1 0.000 0.000 0.500 [3 per cell]
P1 0.500 0.500 0.500 [1 per cell]


Record 18
First-principles (PBE-GGA) data for a relaxed structure of CrAsP2, as listed in the Alexandria database.

Results
energy of formation from the pure elements: 1.690 eV per formula unit
crystal system: orthorhombic
N(E_F): 2.3 states/eV/f.u.
total moment: 5.15 Bohr magnetons per cell

Lattice parameters (Å, degrees): 3.435 4.457 7.944 90.00 90.00 90.00
Space group Immm (No. 71)
Inequivalent atoms, fractional coordinates:
Cr1 0.000 0.000 0.000 [2 per cell]
As1 0.000 0.000 0.500 [2 per cell]
P1 0.000 0.500 0.227 [4 per cell]


Record 19
First-principles (PBE-GGA) data for a relaxed structure of CrAsP2, as listed in the Alexandria database.

Results
energy of formation from the pure elements: 0.275 eV per formula unit
crystal system: trigonal
N(E_F): 2.6 states/eV/f.u.
total moment: 0.00 Bohr magnetons per cell

Lattice parameters (Å, degrees): 2.9092 2.9092 24.3473 90.00 90.00 120.00
Space group R-3m (No. 166, hexagonal axes)
Inequivalent atoms, fractional coordinates:
Cr1 0.0000 0.0000 0.0000 [3 per cell]
As1 0.0000 0.0000 0.5000 [3 per cell]
P1 0.0000 0.0000 0.2667 [6 per cell]


Record 20
First-principles (PBE-GGA) data for a relaxed structure of Cr2AsP, as listed in the Alexandria database.

Results
energy of formation from the pure elements: 1.459 eV per formula unit
crystal system: cubic
N(E_F): 4.2 states/eV/f.u.
total moment: 0.97 Bohr magnetons per cell

Lattice parameters (Å, degrees): 5.958 5.958 5.958 90.00 90.00 90.00
Space group F-43m (No. 216)
Inequivalent atoms, fractional coordinates:
Cr1 0.000 0.000 0.000 [4 per cell]
Cr2 0.250 0.250 0.250 [4 per cell]
As1 0.000 0.000 0.500 [4 per cell]
P1 0.250 0.250 0.750 [4 per cell]